{"formula": "LiMn2Pd6", "functional": "PBE", "state": "optimized geometry", "formation_enthalpy_0k_kj_per_mol_fu": 48, "crystal_system": "orthorhombic", "dft_energy_ev_per_atom": -5.66, "polymorph_energy_mev_per_atom": 246, "sg": "No. 71", "lattice_angstrom": [[4.1575, 0.0000, -0.1589], [0.0000, 5.8780, 0.0000], [-1.8427, -2.9390, 6.1981]], "species": ["Li", "Pd", "Pd", "Mn", "Pd", "Pd", "Mn", "Pd", "Pd"], "fractional_positions": [[0.0000, 0.0000, 0.0000], [0.1644, 0.4121, 0.3293], [0.8356, 0.5879, 0.6707], [0.3362, 0.3360, 0.6720], [0.5000, 0.7621, 0.0000], [0.8356, 0.0828, 0.6707], [0.6638, 0.6640, 0.3280], [0.1644, 0.9172, 0.3293], [0.5000, 0.2379, 0.0000]]}